Entry 1:
## HoLuAlTc (PBE)

Data for a relaxed HoLuAlTc crystal.

* ΔE_f: -0.21 eV per atom
* D(E_F): 11.74 states/eV per cell
* magnetic moment: 0.001 Bohr magnetons per cell

```
16
Lattice="6.945 0.000 0.000 0.000 6.945 0.000 0.000 0.000 6.945" Properties=species:S:1:pos:R:3 pbc="T T T"
Ho 0.000 0.000 0.000
Ho 0.000 3.472 3.472
Ho 3.472 0.000 3.472
Ho 3.472 3.472 0.000
Lu 0.000 0.000 3.472
Lu 0.000 3.472 0.000
Lu 3.472 0.000 0.000
Lu 3.472 3.472 3.472
Al 1.736 1.736 1.736
Al 1.736 5.209 5.209
Al 5.209 1.736 5.209
Al 5.209 5.209 1.736
Tc 1.736 1.736 5.209
Tc 1.736 5.209 1.736
Tc 5.209 1.736 1.736
Tc 5.209 5.209 5.209
```

***

Entry 2:
## HoLuThAl (PBE)

Data for a relaxed HoLuThAl crystal.

* ΔE_f: -0.04 eV per atom
* D(E_F): 27.24 states/eV per cell
* magnetic moment: 0.003 Bohr magnetons per cell

```
16
Lattice="7.551 0.000 0.000 0.000 7.551 0.000 0.000 0.000 7.551" Properties=species:S:1:pos:R:3 pbc="T T T"
Ho 0.000 0.000 0.000
Ho 0.000 3.776 3.776
Ho 3.776 0.000 3.776
Ho 3.776 3.776 0.000
Lu 1.888 1.888 5.664
Lu 1.888 5.664 1.888
Lu 5.664 1.888 1.888
Lu 5.664 5.664 5.664
Th 0.000 0.000 3.776
Th 0.000 3.776 0.000
Th 3.776 0.000 0.000
Th 3.776 3.776 3.776
Al 1.888 1.888 1.888
Al 1.888 5.664 5.664
Al 5.664 1.888 5.664
Al 5.664 5.664 1.888
```

***

Entry 3:
## HoLuTiAl (PBE)

Data for a relaxed HoLuTiAl crystal.

* ΔE_f: -0.06 eV per atom
* D(E_F): 19.72 states/eV per cell
* magnetic moment: 10.436 Bohr magnetons per cell

```
16
Lattice="7.190 0.000 0.000 0.000 7.190 0.000 0.000 0.000 7.190" Properties=species:S:1:pos:R:3 pbc="T T T"
Ho 0.000 0.000 0.000
Ho 0.000 3.595 3.595
Ho 3.595 0.000 3.595
Ho 3.595 3.595 0.000
Lu 0.000 0.000 3.595
Lu 0.000 3.595 0.000
Lu 3.595 0.000 0.000
Lu 3.595 3.595 3.595
Ti 1.797 1.797 1.797
Ti 1.797 5.392 5.392
Ti 5.392 1.797 5.392
Ti 5.392 5.392 1.797
Al 1.797 1.797 5.392
Al 1.797 5.392 1.797
Al 5.392 1.797 1.797
Al 5.392 5.392 5.392
```

***

Entry 4:
## HoLuAlZn (PBE)

Data for a relaxed HoLuAlZn crystal.

* ΔE_f: -0.37 eV per atom
* D(E_F): 12.01 states/eV per cell
* magnetic moment: 0.000 Bohr magnetons per cell

```
16
Lattice="7.086 0.000 0.000 0.000 7.086 0.000 0.000 0.000 7.086" Properties=species:S:1:pos:R:3 pbc="T T T"
Ho 0.000 0.000 0.000
Ho 0.000 3.543 3.543
Ho 3.543 0.000 3.543
Ho 3.543 3.543 0.000
Lu 0.000 0.000 3.543
Lu 0.000 3.543 0.000
Lu 3.543 0.000 0.000
Lu 3.543 3.543 3.543
Al 1.772 1.772 1.772
Al 1.772 5.315 5.315
Al 5.315 1.772 5.315
Al 5.315 5.315 1.772
Zn 1.772 1.772 5.315
Zn 1.772 5.315 1.772
Zn 5.315 1.772 1.772
Zn 5.315 5.315 5.315
```

***

Entry 5:
## HoLuZrAl (PBE)

Data for a relaxed HoLuZrAl crystal.

* ΔE_f: -0.03 eV per atom
* D(E_F): 27.45 states/eV per cell
* magnetic moment: 0.025 Bohr magnetons per cell

```
16
Lattice="7.244 0.000 0.000 0.000 7.244 0.000 0.000 0.000 7.244" Properties=species:S:1:pos:R:3 pbc="T T T"
Ho 0.000 0.000 0.000
Ho 0.000 3.622 3.622
Ho 3.622 0.000 3.622
Ho 3.622 3.622 0.000
Lu 1.811 1.811 1.811
Lu 1.811 5.433 5.433
Lu 5.433 1.811 5.433
Lu 5.433 5.433 1.811
Zr 0.000 0.000 3.622
Zr 0.000 3.622 0.000
Zr 3.622 0.000 0.000
Zr 3.622 3.622 3.622
Al 1.811 1.811 5.433
Al 1.811 5.433 1.811
Al 5.433 1.811 1.811
Al 5.433 5.433 5.433
```

***

Entry 6:
## Ho3MgAl8 (PBE)

Data for a relaxed Ho3MgAl8 crystal.

* ΔE_f: -0.39 eV per atom
* D(E_F): 7.28 states/eV per cell
* magnetic moment: 0.000 Bohr magnetons per cell

```
12
Lattice="2.757 1.592 9.016 -2.757 1.592 9.016 0.000 -3.184 9.016" Properties=species:S:1:pos:R:3 pbc="T T T"
Ho 0.000 0.000 0.000
Ho 0.000 0.000 3.449
Ho 0.000 0.000 13.642
Mg 0.000 0.000 16.966
Al 0.000 -1.583 6.240
Al -1.371 0.792 6.240
Al -1.375 -0.794 10.755
Al 0.000 0.000 8.493
Al 1.371 0.792 6.240
Al 1.375 -0.794 10.755
Al 0.000 1.588 10.755
Al 0.000 0.000 22.032
```

***

Entry 7:
## Ho2Mg3Al2 (PBE)

Data for a relaxed Ho2Mg3Al2 crystal.

* ΔE_f: -0.24 eV per atom
* D(E_F): 6.10 states/eV per cell
* magnetic moment: 0.000 Bohr magnetons per cell

```
14
Lattice="4.488 0.000 0.000 0.000 21.384 0.000 0.000 0.000 3.432" Properties=species:S:1:pos:R:3 pbc="T T T"
Ho 0.000 3.462 0.000
Ho 0.000 17.922 0.000
Ho 2.244 7.230 0.000
Ho 2.244 14.154 0.000
Mg 0.000 0.000 0.000
Mg 0.000 9.098 1.716
Mg 0.000 12.285 1.716
Mg 2.244 1.594 1.716
Mg 2.244 10.692 0.000
Mg 2.244 19.790 1.716
Al 0.000 6.066 1.716
Al 0.000 15.317 1.716
Al 2.244 4.626 1.716
Al 2.244 16.758 1.716
```

***

Entry 8:
## Ho5MgAl (PBE)

Data for a relaxed Ho5MgAl crystal.

* ΔE_f: 0.03 eV per atom
* D(E_F): 15.20 states/eV per cell
* magnetic moment: 0.000 Bohr magnetons per cell

```
14
Lattice="4.219 -3.851 0.000 4.219 3.851 0.000 -1.919 0.000 12.327" Properties=species:S:1:pos:R:3 pbc="T T T"
Ho 2.780 3.608 9.246
Ho 1.074 1.311 7.739
Ho 1.102 1.067 11.303
Ho 2.033 -1.311 1.576
Ho 2.062 -1.067 5.139
Ho 4.459 1.067 7.188
Ho 4.487 1.311 10.752
Ho 5.418 -1.067 1.025
Ho 5.446 -1.311 4.588
Ho 3.740 -3.608 3.082
Mg 3.740 0.982 3.082
Mg 2.780 -0.982 9.246
Al 0.000 0.000 0.000
Al -0.959 0.000 6.164
```

***

Look up the ΔE_f of the first one. -0.21 eV per atom